First-principles (PBE) data for a relaxed structure of Ti3Zn2Pd2, as listed in Alexandria via LeMat-Bulk.

```
data_Ti3Zn2Pd2
_cell_length_a 4.3360
_cell_length_b 2.6688
_cell_length_c 9.9071
_cell_angle_alpha 90.00
_cell_angle_beta 102.65
_cell_angle_gamma 90.00
_space_group_name_H-M_alt 'P 1'
_space_group_IT_number 1
loop_
_space_group_symop_operation_xyz
'x,y,z'
loop_
_atom_site_label
_atom_site_fract_x
_atom_site_fract_y
_atom_site_fract_z
Ti1 0.2941 0.0000 0.5883
Ti2 0.0000 0.0000 0.0000
Ti3 0.7059 0.0000 0.4117
Zn1 0.4288 0.5000 0.8577
Zn2 0.5712 0.5000 0.1423
Pd1 0.1341 0.0000 0.2682
Pd2 0.8659 0.0000 0.7318
```

Results
The value obtained for the energy of formation is -1.03 eV/f.u. Its volume is 112 Å³/cell. Its space group is No. 65. Its density of states at the Fermi level is 0.911 states/eV per atom. The calculated density comes out at 7.23 Mg/m³. The calculation puts the energy above the most stable polymorph in this dataset at 227 meV/atom.



First-principles (PBE) data for a relaxed structure of TiZnPd3, as listed in Alexandria via LeMat-Bulk.

```
data_TiZnPd3
_cell_length_a 4.5663
_cell_length_b 4.5663
_cell_length_c 4.5663
_cell_angle_alpha 90.00
_cell_angle_beta 90.00
_cell_angle_gamma 90.00
_space_group_name_H-M_alt 'P 1'
_space_group_IT_number 1
loop_
_space_group_symop_operation_xyz
'x,y,z'
loop_
_atom_site_label
_atom_site_fract_x
_atom_site_fract_y
_atom_site_fract_z
Zn1 0.0000 0.0000 0.0000
Pd1 0.0000 0.5000 0.0000
Pd2 0.0000 0.0000 0.5000
Pd3 0.5000 0.0000 0.0000
Ti1 0.5000 0.5000 0.5000
```

Results
The value obtained for the energy of formation is 2.16 eV/f.u. Its volume is 95 Å³/cell. Its space group is No. 221. Its density of states at the Fermi level is 3.444 states/eV per atom. The calculated density comes out at 7.54 Mg/m³. The calculation puts the energy above the most stable polymorph in this dataset at 994 meV/atom.



First-principles (PBE) data for a relaxed structure of Ti3Zn6Pd, as listed in Alexandria via LeMat-Bulk.

```
data_Ti3Zn6Pd
_cell_length_a 6.9346
_cell_length_b 6.9346
_cell_length_c 6.9346
_cell_angle_alpha 82.26
_cell_angle_beta 82.26
_cell_angle_gamma 82.26
_space_group_name_H-M_alt 'P 1'
_space_group_IT_number 1
loop_
_space_group_symop_operation_xyz
'x,y,z'
loop_
_atom_site_label
_atom_site_fract_x
_atom_site_fract_y
_atom_site_fract_z
Ti1 0.3128 0.8327 0.7502
Ti2 0.8327 0.7502 0.3128
Ti3 0.2498 0.6872 0.1673
Ti4 0.7502 0.3128 0.8327
Ti5 0.1673 0.2498 0.6872
Ti6 0.6872 0.1673 0.2498
Zn1 0.3465 0.1009 0.0284
Zn2 0.8991 0.9716 0.6535
Zn3 0.4559 0.8861 0.3683
Zn4 0.9716 0.6535 0.8991
Zn5 0.3683 0.4559 0.8861
Zn6 0.1139 0.6317 0.5441
Zn7 0.8861 0.3683 0.4559
Zn8 0.6317 0.5441 0.1139
Zn9 0.0284 0.3465 0.1009
Zn10 0.5441 0.1139 0.6317
Zn11 0.1009 0.0284 0.3465
Zn12 0.6535 0.8991 0.9716
Pd1 0.0000 0.0000 0.0000
Pd2 0.5000 0.5000 0.5000
```

Results
The value obtained for the energy of formation is -0.62 eV/f.u. Its volume is 325 Å³/cell. Its space group is No. 148. Its density of states at the Fermi level is 0.715 states/eV per atom. The calculated density comes out at 6.56 Mg/m³. The calculation puts the energy above the most stable polymorph in this dataset at 146 meV/atom.



First-principles (PBE) data for a relaxed structure of Ti2Zn2Pd5, as listed in Alexandria via LeMat-Bulk.

```
data_Ti2Zn2Pd5
_cell_length_a 7.4151
_cell_length_b 6.0594
_cell_length_c 8.0493
_cell_angle_alpha 112.11
_cell_angle_beta 117.43
_cell_angle_gamma 90.00
_space_group_name_H-M_alt 'P 1'
_space_group_IT_number 1
loop_
_space_group_symop_operation_xyz
'x,y,z'
loop_
_atom_site_label
_atom_site_fract_x
_atom_site_fract_y
_atom_site_fract_z
Ti1 0.1085 0.6787 0.2512
Ti2 0.8915 0.4276 0.7488
Ti3 0.6427 0.1787 0.2512
Ti4 0.3573 0.9276 0.7488
Zn1 0.0000 0.9175 0.0000
Zn2 0.5000 0.4175 0.0000
Zn3 0.2650 0.4372 0.5000
Zn4 0.7350 0.9372 0.5000
Pd1 0.2654 0.7004 0.9107
Pd2 0.7346 0.7897 0.0893
Pd3 0.1453 0.2004 0.9107
Pd4 0.8547 0.2897 0.0893
Pd5 0.3582 0.0476 0.2994
Pd6 0.6418 0.7481 0.7006
Pd7 0.4413 0.5476 0.2994
Pd8 0.5587 0.2481 0.7006
Pd9 0.9296 0.5892 0.5000
Pd10 0.0704 0.0892 0.5000
```

Results
The value obtained for the energy of formation is -2.76 eV/f.u. Its volume is 291 Å³/cell. Its space group is No. 46. Its density of states at the Fermi level is 0.606 states/eV per atom. The calculated density comes out at 8.67 Mg/m³.



First-principles (PBE) data for a relaxed structure of Ti3Zn2Pd3, as listed in Alexandria via LeMat-Bulk.

```
data_Ti3Zn2Pd3
_cell_length_a 4.1695
_cell_length_b 4.1741
_cell_length_c 7.0197
_cell_angle_alpha 90.00
_cell_angle_beta 90.00
_cell_angle_gamma 90.00
_space_group_name_H-M_alt 'P 1'
_space_group_IT_number 1
loop_
_space_group_symop_operation_xyz
'x,y,z'
loop_
_atom_site_label
_atom_site_fract_x
_atom_site_fract_y
_atom_site_fract_z
Ti1 0.5000 0.5000 0.7556
Ti2 0.5000 0.5000 0.2444
Ti3 0.5000 0.0000 0.0000
Zn1 0.0000 0.0000 0.7417
Zn2 0.0000 0.0000 0.2583
Pd1 0.5000 0.0000 0.5000
Pd2 0.0000 0.5000 0.0000
Pd3 0.0000 0.5000 0.5000
```

Results
The value obtained for the energy of formation is -3.29 eV/f.u. Its volume is 122 Å³/cell. Its space group is No. 47. Its density of states at the Fermi level is 0.727 states/eV per atom. The calculated density comes out at 8.07 Mg/m³.



First-principles (PBE) data for a relaxed structure of TiZnPd2, as listed in Alexandria via LeMat-Bulk.

```
data_TiZnPd2
_cell_length_a 2.9442
_cell_length_b 4.5445
_cell_length_c 4.5445
_cell_angle_alpha 90.00
_cell_angle_beta 90.00
_cell_angle_gamma 90.00
_space_group_name_H-M_alt 'P 1'
_space_group_IT_number 1
loop_
_space_group_symop_operation_xyz
'x,y,z'
loop_
_atom_site_label
_atom_site_fract_x
_atom_site_fract_y
_atom_site_fract_z
Zn1 0.5000 0.5000 0.5000
Pd1 0.0000 0.0000 0.5000
Pd2 0.0000 0.5000 0.0000
Ti1 0.5000 0.0000 0.0000
```

Results
The value obtained for the energy of formation is -1.93 eV/f.u. Its volume is 61 Å³/cell. Its space group is No. 123. Its density of states at the Fermi level is 0.979 states/eV per atom. The calculated density comes out at 8.91 Mg/m³.



First-principles (PBE) data for a relaxed structure of TiZn2Pd, as listed in Alexandria via LeMat-Bulk.

```
data_TiZn2Pd
_cell_length_a 7.1499
_cell_length_b 7.1499
_cell_length_c 5.6850
_cell_angle_alpha 51.04
_cell_angle_beta 51.04
_cell_angle_gamma 90.00
_space_group_name_H-M_alt 'P 1'
_space_group_IT_number 1
loop_
_space_group_symop_operation_xyz
'x,y,z'
loop_
_atom_site_label
_atom_site_fract_x
_atom_site_fract_y
_atom_site_fract_z
Zn1 0.6401 0.1250 0.2500
Zn2 0.1099 0.6250 0.2500
Zn3 0.3750 0.3599 0.7500
Zn4 0.8750 0.8901 0.7500
Pd1 0.0000 0.0000 0.0000
Pd2 0.7500 0.2500 0.5000
Ti1 0.5000 0.5000 0.0000
Ti2 0.2500 0.7500 0.5000
```

Results
The value obtained for the energy of formation is 0.03 eV/f.u. Its volume is 133 Å³/cell. Its space group is No. 122. Its density of states at the Fermi level is 0.833 states/eV per atom. The calculated density comes out at 7.12 Mg/m³.



First-principles (PBE) data for a relaxed structure of Ti2ZnPd, as listed in Alexandria via LeMat-Bulk.

```
data_Ti2ZnPd
_cell_length_a 2.7858
_cell_length_b 5.6646
_cell_length_c 8.2942
_cell_angle_alpha 90.00
_cell_angle_beta 90.00
_cell_angle_gamma 104.23
_space_group_name_H-M_alt 'P 1'
_space_group_IT_number 1
loop_
_space_group_symop_operation_xyz
'x,y,z'
loop_
_atom_site_label
_atom_site_fract_x
_atom_site_fract_y
_atom_site_fract_z
Ti1 0.3759 0.7519 0.5257
Ti2 0.6241 0.2481 0.4743
Ti3 0.6241 0.2481 0.0257
Ti4 0.3759 0.7519 0.9743
Zn1 0.9745 0.9489 0.2500
Zn2 0.0255 0.0511 0.7500
Pd1 0.2491 0.4981 0.2500
Pd2 0.7509 0.5019 0.7500
```

Results
The value obtained for the energy of formation is -1.08 eV/f.u. Its volume is 127 Å³/cell. Its space group is No. 63. Its density of states at the Fermi level is 1.174 states/eV per atom. The calculated density comes out at 7.00 Mg/m³.



First-principles (PBE) data for a relaxed structure of TiZn2Pd, as listed in Alexandria via LeMat-Bulk.

```
data_TiZn2Pd
_cell_length_a 4.3814
_cell_length_b 4.3814
_cell_length_c 4.3821
_cell_angle_alpha 90.37
_cell_angle_beta 119.79
_cell_angle_gamma 119.78
_space_group_name_H-M_alt 'P 1'
_space_group_IT_number 1
loop_
_space_group_symop_operation_xyz
'x,y,z'
loop_
_atom_site_label
_atom_site_fract_x
_atom_site_fract_y
_atom_site_fract_z
Ti1 0.6250 0.5625 0.1875
Zn1 0.1250 0.8125 0.9375
Zn2 0.6251 0.0625 0.6876
Pd1 0.1249 0.3125 0.4374
```

Results
The value obtained for the energy of formation is -1.56 eV/f.u. Its volume is 60 Å³/cell. Its space group is No. 119. Its density of states at the Fermi level is 0.633 states/eV per atom. The calculated density comes out at 7.93 Mg/m³.